[1]
The following is a DFT calculation (PBE) of crystalline Sr2ZnNi at its relaxed geometry.

```
data_Sr2ZnNi
_chemical_formula_sum 'Sr2 Zn1 Ni1'
_cell_length_a 3.766
_cell_length_b 3.773
_cell_length_c 8.417
_cell_angle_alpha 63.57
_cell_angle_beta 90.00
_cell_angle_gamma 90.00
_space_group_name_H-M_alt 'P 1'
_space_group_IT_number 1
_space_group_name_Hall 'P 1'
loop_
_atom_site_label
_atom_site_type_symbol
_atom_site_fract_x
_atom_site_fract_y
_atom_site_fract_z
Zn1 Zn 0.500 0.250 0.250
Sr1 Sr 0.000 0.484 0.516
Sr2 Sr 0.000 0.016 0.984
Ni1 Ni 0.500 0.750 0.750
```

***

[2]
The following is a DFT calculation (PBE) of crystalline Sr2Zn2Ni at its relaxed geometry.

```
data_Sr2Zn2Ni
_chemical_formula_sum 'Sr4 Zn4 Ni2'
_cell_length_a 7.146
_cell_length_b 7.146
_cell_length_c 4.905
_cell_angle_alpha 90.00
_cell_angle_beta 90.00
_cell_angle_gamma 90.00
_space_group_name_H-M_alt 'P 1'
_space_group_IT_number 1
_space_group_name_Hall 'P 1'
loop_
_atom_site_label
_atom_site_type_symbol
_atom_site_fract_x
_atom_site_fract_y
_atom_site_fract_z
Ni1 Ni 0.500 0.500 0.000
Ni2 Ni 0.000 0.000 0.000
Zn1 Zn 0.131 0.369 0.000
Zn2 Zn 0.631 0.131 0.000
Zn3 Zn 0.369 0.869 0.000
Zn4 Zn 0.869 0.631 0.000
Sr1 Sr 0.316 0.184 0.500
Sr2 Sr 0.684 0.816 0.500
Sr3 Sr 0.184 0.684 0.500
Sr4 Sr 0.816 0.316 0.500
```

***

[3]
The following is a DFT calculation (PBE) of crystalline Sr2Zn15Ni2 at its relaxed geometry.

```
data_Sr2Zn15Ni2
_chemical_formula_sum 'Sr2 Zn15 Ni2'
_cell_length_a 6.871
_cell_length_b 6.871
_cell_length_c 6.871
_cell_angle_alpha 82.92
_cell_angle_beta 82.92
_cell_angle_gamma 82.92
_space_group_name_H-M_alt 'P 1'
_space_group_IT_number 1
_space_group_name_Hall 'P 1'
loop_
_atom_site_label
_atom_site_type_symbol
_atom_site_fract_x
_atom_site_fract_y
_atom_site_fract_z
Zn1 Zn 0.721 0.000 0.279
Zn2 Zn 0.500 0.000 0.000
Zn3 Zn 0.279 0.721 0.000
Zn4 Zn 0.000 0.279 0.721
Zn5 Zn 0.853 0.343 0.343
Zn6 Zn 0.343 0.343 0.853
Zn7 Zn 0.343 0.853 0.343
Zn8 Zn 0.721 0.279 0.000
Zn9 Zn 0.000 0.721 0.279
Zn10 Zn 0.000 0.500 0.000
Zn11 Zn 0.657 0.657 0.147
Zn12 Zn 0.657 0.147 0.657
Zn13 Zn 0.279 0.000 0.721
Zn14 Zn 0.147 0.657 0.657
Zn15 Zn 0.000 0.000 0.500
Ni1 Ni 0.902 0.902 0.902
Ni2 Ni 0.098 0.098 0.098
Sr1 Sr 0.339 0.339 0.339
Sr2 Sr 0.661 0.661 0.661
```

***

Here are the calculated N(E_F) numbers, same order: 2.94, 3.17, 9.30 (states/eV/f.u.).
Here are the calculated ΔE_f numbers, same order: 11, 30, -154 (meV per atom).